1.
Density functional theory data (PBE) for a relaxed PrMg2In2 crystal.

Computed properties:
Fermi-level density of states = 4.3 states/eV/f.u.
E_tot = -27.116 eV for the cell shown
volume = 147 Å³/f.u.
crystal system = hexagonal

Cell lengths 5.2322, 5.2322, 12.3996 Å; angles 90.00, 90.00, 120.00 degrees
Space group P6_3/mmc (No. 194)
Unique sites:
1 Pr 0.0000 0.0000 0.2500 x2
2 Mg 0.3333 0.6667 0.1008 x4
3 In 0.0000 0.0000 0.0000 x2
4 In 0.3333 0.6667 0.7500 x2


2.
Density functional theory data (PBE) for a relaxed Pm2NdHoTl4 crystal.

Computed properties:
Fermi-level density of states = 6.7 states/eV/f.u.
E_tot = -93.779 eV for the cell shown
volume = 231 Å³/f.u.
crystal system = trigonal

Cell lengths 5.4602, 5.4602, 26.8263 Å; angles 90.00, 90.00, 120.00 degrees
Space group R-3m (No. 166, hexagonal axes)
Unique sites:
1 Pm 0.0000 0.0000 0.2492 x6
2 Nd 0.0000 0.0000 0.0000 x3
3 Ho 0.0000 0.0000 0.5000 x3
4 Tl 0.0000 0.0000 0.1263 x6
5 Tl 0.0000 0.0000 0.3764 x6


3.
Density functional theory data (PBE) for a relaxed Ho6Sb3TeSe2 crystal.

Computed properties:
Fermi-level density of states = 5.1 states/eV/f.u.
E_tot = -132.279 eV for the cell shown
volume = 329 Å³/f.u.
crystal system = monoclinic

Cell lengths 18.585, 4.271, 8.518 Å; angles 90.00, 102.97, 90.00 degrees
Space group C2/m (No. 12)
Unique sites:
1 Ho 0.006 0.000 0.260 x4
2 Ho 0.170 0.500 0.578 x4
3 Ho 0.172 0.500 0.094 x4
4 Sb 0.000 0.500 0.500 x2
5 Sb 0.162 0.000 0.832 x4
6 Te 0.000 0.500 0.000 x2
7 Se 0.168 0.000 0.334 x4


| no. | total moment (μB per cell) |
| --- | --- |
| 1 | 0.000 |
| 2 | 0.000 |
| 3 | 0.000 |